Compound: WSe3Br
Source: the Alexandria database
Functional: GGA-PBE
Structure: optimized geometry

SG: P-1, No. 2
energy above the most stable polymorph in this dataset: 0 meV/atom
uncorrected formation energy: -0.17 eV/f.u.

Lattice parameters (Å, degrees): 4.8883 8.4659 10.7711 119.38 78.78 119.93
Closest atoms and distances in Å follow each position.
Atoms (fractional coordinates):
Se 0.3503 0.6555 0.0735  3 W 2.55-2.62
Se 0.7664 0.7155 0.3712  1 W 2.25
Se 0.1674 0.0468 0.1906  1 W 2.37, 1 Br 2.47
Se 0.2336 0.2845 0.6288  1 W 2.25
Se 0.8326 0.9532 0.8094  1 W 2.37, 1 Br 2.47
Se 0.6497 0.3445 0.9265  3 W 2.55-2.62
Br 0.8461 0.2282 0.2873  1 Se 2.47
Br 0.1539 0.7718 0.7127  1 Se 2.47
W 0.1445 0.2969 0.8457  2 Se 2.25-2.37
W 0.8555 0.7031 0.1543  2 Se 2.25-2.37

---

Compound: ThMgNiHg
Source: the Alexandria database
Functional: GGA-PBE
Structure: optimized geometry

SG: F-43m, No. 216
calculated formation energy: -0.192 eV/atom

Lattice parameters (Å, degrees): 4.9905 4.9905 4.9905 60.00 60.00 60.00
Closest atoms and distances in Å follow each position.
Atoms (fractional coordinates):
Ni 0.0000 0.0000 0.0000  4 Th 3.06, 4 Mg 3.06
Th 0.7500 0.7500 0.7500  4 Ni 3.06, 4 Hg 3.06
Mg 0.2500 0.2500 0.2500  4 Hg 3.06, 4 Ni 3.06
Hg 0.5000 0.5000 0.5000  4 Th 3.06, 4 Mg 3.06